No. 1
{
  "formula": "Pu2UFe",
  "functional": "GGA-PBE",
  "state": "relaxed",
  "formation_energy_ev_per_fu": 2.1,
  "magnetic_moment_mub_per_atom": 2.56,
  "cell": [[2.903, 0.000, 0.000], [1.451, 2.514, 0.000], [1.451, 0.838, 10.552]],
  "species": ["Fe", "U", "Pu", "Pu"],
  "fractional_positions": [[0.500, 0.500, 0.500], [0.000, 0.000, 0.000], [0.911, 0.911, 0.266], [0.089, 0.089, 0.734]]
}

No. 2
{
  "formula": "Pu2UFe",
  "functional": "GGA-PBE",
  "state": "relaxed",
  "formation_energy_ev_per_fu": 0.9,
  "magnetic_moment_mub_per_atom": 2.24,
  "cell": [[4.748, 0.000, 0.000], [2.374, 4.112, 0.000], [2.374, 1.371, 3.877]],
  "species": ["Pu", "Pu", "Fe", "U"],
  "fractional_positions": [[0.750, 0.750, 0.750], [0.250, 0.250, 0.250], [0.500, 0.500, 0.500], [0.000, 0.000, 0.000]]
}

No. 3
{
  "formula": "Pu2UFe",
  "functional": "GGA-PBE",
  "state": "relaxed",
  "formation_energy_ev_per_fu": 0.8,
  "magnetic_moment_mub_per_atom": 1.67,
  "cell": [[3.013, 0.000, 0.000], [0.000, 5.037, 0.000], [0.000, 0.000, 5.037]],
  "species": ["Pu", "Pu", "Fe", "U"],
  "fractional_positions": [[0.000, 0.500, 0.000], [0.000, 0.000, 0.500], [0.500, 0.500, 0.500], [0.500, 0.000, 0.000]]
}

No. 4
{
  "formula": "PuUFe2",
  "functional": "GGA-PBE",
  "state": "relaxed",
  "formation_energy_ev_per_fu": 0.9,
  "magnetic_moment_mub_per_atom": 1.18,
  "cell": [[3.676, 0.000, 0.000], [1.838, 3.183, 0.000], [1.838, 1.061, 6.124]],
  "species": ["Fe", "Fe", "U", "Pu"],
  "fractional_positions": [[0.749, 0.749, 0.752], [0.251, 0.251, 0.248], [0.000, 0.000, 0.000], [0.500, 0.500, 0.500]]
}